The following is a meta-GGA SCAN calculation of a PBEsol-optimized structure of LaRuSe, from Alexandria.

The space group is I4mm (No. 107) and the conventional cell measures 3.297, 3.297 and 10.982 Å, with angles of 90.00, 90.00 and 90.00 degrees. The asymmetric unit holds La at (0.000, 0.000, 0.000), Ru at (0.000, 0.000, 0.306) and Se at (0.000, 0.000, 0.709).

As for the volume: 19.9 Å³ per atom. The calculation puts the energy relative to the elements, uncorrected at -0.40 eV per atom. Its relative energy among the computed polymorphs is 0.00 kcal/mol of atoms. For the raw total energy, the calculation gives -198.40 eV per cell. Its density of states at the Fermi level is 4.4 states/eV/cell.

The following is a meta-GGA SCAN calculation of a PBEsol-optimized structure of TaAgAu2, from Alexandria.

The space group is P4/mmm (No. 123) and the conventional cell measures 2.900, 2.900 and 7.998 Å, with angles of 90.00, 90.00 and 90.00 degrees. The asymmetric unit holds Ta at (0.000, 0.000, 0.000), Ag at (0.000, 0.000, 0.500) and Au at (0.500, 0.500, 0.246).

As for the volume: 16.8 Å³ per atom. Its energy of formation is -0.138 eV per atom. For the raw total energy, the calculation gives -236.81 eV per cell. Its density of states at the Fermi level is 1.9 states/eV/cell.

The following is a meta-GGA SCAN calculation of a PBEsol-optimized structure of Cd2Cu10Sb4S13, from Alexandria.

The space group is I-42m (No. 121) and the conventional cell measures 10.208, 10.208 and 10.677 Å, with angles of 90.00, 90.00 and 90.00 degrees. The asymmetric unit holds Cd at (0.000, 0.000, 0.237), Cu at (0.000, 0.221, 0.000), Cu at (0.000, 0.266, 0.500), Cu at (0.000, 0.500, 0.250), Sb at (0.225, 0.225, 0.240), S at (0.000, 0.000, 0.000), S at (0.108, 0.363, 0.882) and S at (0.131, 0.131, 0.614).

As for the volume: 19.2 Å³ per atom. The calculation puts the energy relative to the elements, uncorrected at -0.30 eV per atom. For the raw total energy, the calculation gives -991.57 eV per cell.

The following is a meta-GGA SCAN calculation of a PBEsol-optimized structure of UI4, from Alexandria.

The space group is C2/c (No. 15) and the conventional cell measures 13.896, 8.444 and 7.326 Å, with angles of 90.00, 91.02 and 90.00 degrees. The asymmetric unit holds U at (0.000, 0.141, 0.250), I at (0.123, 0.122, 0.918) and I at (0.130, 0.371, 0.399).

As for the volume: 43.0 Å³ per atom. The calculation puts the energy relative to the elements, uncorrected at -0.83 eV per atom. For the raw total energy, the calculation gives -1018.64 eV per cell. Its density of states at the Fermi level is 5.0 states/eV/cell.

The following is a meta-GGA SCAN calculation of a PBEsol-optimized structure of HfBAu2, from Alexandria.

The space group is I-42d (No. 122) and the conventional cell measures 4.624, 4.624 and 13.910 Å, with angles of 90.00, 90.00 and 90.00 degrees. The asymmetric unit holds Hf at (0.000, 0.000, 0.000), B at (0.000, 0.000, 0.500) and Au at (0.146, 0.250, 0.625).

As for the volume: 18.6 Å³ per atom. Its energy of formation is 0.191 eV per atom. For the raw total energy, the calculation gives -830.62 eV per cell. Its density of states at the Fermi level is 12.4 states/eV/cell.

The following is a meta-GGA SCAN calculation of a PBEsol-optimized structure of Li2CoSiO4, from Alexandria.

The space group is Pc (No. 7) and the conventional cell measures 4.929, 5.313 and 7.909 Å, with angles of 90.00, 128.38 and 90.00 degrees. The asymmetric unit holds Li at (0.000, 0.160, 0.000), Li at (0.250, 0.326, 0.752), Co at (0.740, 0.331, 0.244), Si at (0.493, 0.173, 0.500), O at (0.157, 0.179, 0.498), O at (0.381, 0.318, 0.280), O at (0.602, 0.120, 0.001) and O at (0.820, 0.317, 0.719).

As for the volume: 10.1 Å³ per atom. The calculation puts the energy relative to the elements, uncorrected at -2.39 eV per atom. Its relative energy among the computed polymorphs is 0.00 kcal/mol of atoms. For the raw total energy, the calculation gives -152.22 eV per cell. Its density of states at the Fermi level is 0.0 states/eV/cell.

The following is a meta-GGA SCAN calculation of a PBEsol-optimized structure of Sr2AgPt, from Alexandria.

The space group is I-4m2 (No. 119) and the conventional cell measures 4.416, 4.416 and 10.231 Å, with angles of 90.00, 90.00 and 90.00 degrees. The asymmetric unit holds Sr at (0.000, 0.000, 0.000), Sr at (0.000, 0.500, 0.250), Ag at (0.000, 0.000, 0.500) and Pt at (0.000, 0.500, 0.750).

As for the volume: 24.9 Å³ per atom. Its relative energy among the computed polymorphs is 6.13 kcal/mol of atoms. Its energy of formation is -0.388 eV per atom. For the raw total energy, the calculation gives -295.32 eV per cell. Its density of states at the Fermi level is 3.4 states/eV/cell.

The following is a meta-GGA SCAN calculation of a PBEsol-optimized structure of UCu2P2, from Alexandria.

The space group is P-3m1 (No. 164) and the conventional cell measures 3.8383, 3.8383 and 6.3057 Å, with angles of 90.00, 90.00 and 120.00 degrees. The asymmetric unit holds U at (0.0000, 0.0000, 0.0000), Cu at (0.3333, 0.6667, 0.6318) and P at (0.3333, 0.6667, 0.2575).

As for the volume: 16.1 Å³ per atom. Its energy of formation is -0.523 eV per atom. For the raw total energy, the calculation gives -157.34 eV per cell. Its density of states at the Fermi level is 2.7 states/eV/cell.